No. 1
The following is a SCAN calculation of a crystal of ZrPIr2 relaxed with PBEsol, from the Alexandria database.

ΔE_f: -0.62 eV/atom

Cell: 3.8530 5.5339 5.5339 Å, 30.91 90.00 90.00°
Sites, in units of the cell vectors:
Zr1 0.0000 0.0000 0.0000
P1 0.5000 0.3889 0.3889
Ir1 0.0000 0.2678 0.2678
Ir2 0.5000 0.6354 0.6354

No. 2
The following is a SCAN calculation of a crystal of Zr2PIr relaxed with PBEsol, from the Alexandria database.

ΔE_f: -0.22 eV/atom

Cell: 4.5334 4.5334 4.5334 Å, 60.00 60.00 60.00°
Sites, in units of the cell vectors:
Zr1 0.0000 0.0000 0.0000
Zr2 0.2500 0.2500 0.2500
P1 0.7500 0.7500 0.7500
Ir1 0.5000 0.5000 0.5000

No. 3
The following is a SCAN calculation of a crystal of Zr2PIr relaxed with PBEsol, from the Alexandria database.

ΔE_f: -1.21 eV/atom

Cell: 3.8769 5.3013 5.3013 Å, 39.89 90.00 90.00°
Sites, in units of the cell vectors:
Zr1 0.0000 0.0000 0.0000
Zr2 0.5000 0.2909 0.2909
P1 0.0000 0.7303 0.7303
Ir1 0.5000 0.5679 0.5679

No. 4
The following is a SCAN calculation of a crystal of Zr2PIr relaxed with PBEsol, from the Alexandria database.

ΔE_f: -0.81 eV/atom

Cell: 4.5811 4.5811 3.2741 Å, 90.00 90.00 90.00°
Sites, in units of the cell vectors:
Zr1 0.0000 0.5000 0.0000
Zr2 0.5000 0.0000 0.0000
P1 0.0000 0.0000 0.5000
Ir1 0.5000 0.5000 0.5000

No. 5
The following is a SCAN calculation of a crystal of PaIr3 relaxed with PBEsol, from the Alexandria database.

ΔE_f: -0.92 eV/atom

Cell: 4.0385 4.0385 4.0385 Å, 90.00 90.00 90.00°
Sites, in units of the cell vectors:
Pa1 0.0000 0.0000 0.0000
Ir1 0.0000 0.5000 0.5000
Ir2 0.5000 0.0000 0.5000
Ir3 0.5000 0.5000 0.0000

No. 6
The following is a SCAN calculation of a crystal of Ir2Pb relaxed with PBEsol, from the Alexandria database.

ΔE_f: 1.06 eV/atom
offset from the most stable computed form: 618 meV/atom

Cell: 4.3496 4.3496 4.3496 Å, 60.00 60.00 60.00°
Sites, in units of the cell vectors:
Ir1 0.2500 0.2500 0.2500
Ir2 0.7500 0.7500 0.7500
Pb1 0.0000 0.0000 0.0000

No. 7
The following is a SCAN calculation of a crystal of IrPb3 relaxed with PBEsol, from the Alexandria database.

ΔE_f: 0.30 eV/atom
offset from the most stable computed form: 0 meV/atom

Cell: 3.3343 3.3460 8.5854 Å, 90.00 90.00 90.00°
Sites, in units of the cell vectors:
Ir1 0.0000 0.0000 0.0000
Pb1 0.0000 0.0000 0.5000
Pb2 0.5000 0.5000 0.1976
Pb3 0.5000 0.5000 0.8024

No. 8
The following is a SCAN calculation of a crystal of Ir2Pb relaxed with PBEsol, from the Alexandria database.

ΔE_f: 0.77 eV/atom
offset from the most stable computed form: 332 meV/atom

Cell: 4.4664 4.4664 3.0773 Å, 90.00 90.00 120.00°
Sites, in units of the cell vectors:
Ir1 0.3333 0.6667 0.0000
Ir2 0.6667 0.3333 0.0000
Pb1 0.0000 0.0000 0.5000

No. 9
The following is a SCAN calculation of a crystal of IrPb3 relaxed with PBEsol, from the Alexandria database.

ΔE_f: 0.63 eV/atom
offset from the most stable computed form: 329 meV/atom

Cell: 4.5551 4.5551 4.5551 Å, 90.00 90.00 90.00°
Sites, in units of the cell vectors:
Ir1 0.0000 0.0000 0.0000
Pb1 0.0000 0.5000 0.5000
Pb2 0.5000 0.0000 0.5000
Pb3 0.5000 0.5000 0.0000

No. 10
The following is a SCAN calculation of a crystal of Ir2Pb relaxed with PBEsol, from the Alexandria database.

ΔE_f: 0.58 eV/atom
offset from the most stable computed form: 134 meV/atom

Cell: 8.0806 8.0806 8.0806 Å, 151.35 151.35 40.96°
Sites, in units of the cell vectors:
Ir1 0.2961 0.5461 0.7500
Ir2 0.4539 0.7039 0.7500
Ir3 0.5461 0.2961 0.2500
Ir4 0.7039 0.4539 0.2500
Pb1 0.1250 0.8750 0.2500
Pb2 0.8750 0.1250 0.7500

No. 11
The following is a SCAN calculation of a crystal of IrPb3 relaxed with PBEsol, from the Alexandria database.

ΔE_f: 0.70 eV/atom
offset from the most stable computed form: 405 meV/atom

Cell: 5.8815 5.8815 5.8815 Å, 116.60 116.60 116.60°
Sites, in units of the cell vectors:
Ir1 0.0000 0.0000 0.0000
Pb1 0.0000 0.5000 0.5000
Pb2 0.5000 0.0000 0.5000
Pb3 0.5000 0.5000 0.0000

No. 12
The following is a SCAN calculation of a crystal of Ir2Pb relaxed with PBEsol, from the Alexandria database.

ΔE_f: 0.48 eV/atom
offset from the most stable computed form: 33 meV/atom

Cell: 6.9545 6.9545 5.9229 Å, 114.02 114.02 24.30°
Sites, in units of the cell vectors:
Ir1 0.0249 0.0249 0.2293
Ir2 0.3922 0.3922 0.3476
Ir3 0.6078 0.6078 0.6524
Ir4 0.9751 0.9751 0.7707
Pb1 0.3054 0.3054 0.8167
Pb2 0.6946 0.6946 0.1833

No. 13
The following is a SCAN calculation of a crystal of Ir2Pb relaxed with PBEsol, from the Alexandria database.

ΔE_f: 0.44 eV/atom
offset from the most stable computed form: 0 meV/atom

Cell: 5.1536 5.1536 7.7174 Å, 92.66 92.66 32.19°
Sites, in units of the cell vectors:
Ir1 0.0000 0.0000 0.0000
Ir2 0.3564 0.3564 0.7646
Ir3 0.5865 0.5865 0.2695
Ir4 0.7297 0.7297 0.9880
Pb1 0.0873 0.0873 0.6285
Pb2 0.3236 0.3236 0.3352

No. 14
The following is a SCAN calculation of a crystal of Ir2Pb relaxed with PBEsol, from the Alexandria database.

ΔE_f: 0.94 eV/atom
offset from the most stable computed form: 493 meV/atom

Cell: 4.8442 4.8442 4.8442 Å, 137.09 137.09 62.29°
Sites, in units of the cell vectors:
Ir1 0.1761 0.1761 0.0000
Ir2 0.8239 0.8239 0.0000
Pb1 0.5000 0.5000 0.0000

No. 15
The following is a SCAN calculation of a crystal of IrPtPb relaxed with PBEsol, from the Alexandria database.

ΔE_f: 0.32 eV/atom
offset from the most stable computed form: 0 meV/atom

Cell: 4.3978 4.3978 4.3978 Å, 60.00 60.00 60.00°
Sites, in units of the cell vectors:
Ir1 0.0000 0.0000 0.0000
Pt1 0.7500 0.7500 0.7500
Pb1 0.2500 0.2500 0.2500